Record 1
MnHRuAu | PBE | relaxed

Properties
The value obtained for the total energy is -6.05 eV/atom. For the polymorph energy (0 for the lowest one), the calculation gives 86 meV/atom. The total magnetic moment comes out at 1.38 μB/f.u. Its space-group type is Cm.

a = 7.356 Å, b = 2.770 Å, c = 4.808 Å
α = 90.00°, β = 102.77°, γ = 90.00°
Each line ends with the local moment (μB).
Positions (direct):
Mn 0.386 0.000 0.926  1.53
Mn 0.386 0.500 0.426  1.53
H 0.794 0.000 0.398  0.00
H 0.794 0.500 0.898  0.00
Au 0.070 0.500 0.988  0.03
Au 0.070 0.000 0.488  0.03
Ru 0.656 0.500 0.184  -0.20
Ru 0.656 0.000 0.684  -0.20

Record 2
Sr4LiMo | PBE | relaxed

Properties
The value obtained for the total energy is -2.22 eV/atom. The total magnetic moment comes out at 4.25 μB/f.u. Its space-group type is F-43m.

a = 7.278 Å, b = 7.278 Å, c = 7.278 Å
α = 60.00°, β = 60.00°, γ = 60.00°
Each line ends with the local moment (μB).
Positions (direct):
Mo 0.000 0.000 0.000  3.57
Sr 0.374 0.374 0.374  -0.03
Sr 0.877 0.374 0.374  -0.03
Sr 0.374 0.374 0.877  -0.03
Sr 0.374 0.877 0.374  -0.03
Li 0.750 0.750 0.750  -0.01